Density functional theory data (PBE) for an optimized crystal structure of SrCeInPb.

a = 5.6533 Å, b = 5.6533 Å, c = 5.6533 Å
α = 60.00°, β = 60.00°, γ = 60.00°
Positions (direct):
Sr1 0.0000 0.0000 0.0000
Ce1 0.5000 0.5000 0.5000
In1 0.7500 0.7500 0.7500
Pb1 0.2500 0.2500 0.2500

Calculated total energy ... -3.87 eV/atom
DFT formation energy ... -0.36 eV/atom
Symmetry ... F-43m (216)